1.
This record from Alexandria describes CsZr4Br7 after structural relaxation. The functional is PBE.

```
data_CsZr4Br7
_cell_length_a 5.356
_cell_length_b 21.153
_cell_length_c 5.754
_cell_angle_alpha 90.00
_cell_angle_beta 90.00
_cell_angle_gamma 90.00
_space_group_name_H-M_alt 'P 1'
_space_group_IT_number 1
loop_
_space_group_symop_operation_xyz
'x,y,z'
loop_
_atom_site_label
_atom_site_type_symbol
_atom_site_fract_x
_atom_site_fract_y
_atom_site_fract_z
Cs1 Cs 0.250 0.250 0.182
Cs2 Cs 0.750 0.750 0.818
Zr1 Zr 0.250 0.006 0.663
Zr2 Zr 0.250 0.494 0.663
Zr3 Zr 0.250 0.603 0.318
Zr4 Zr 0.250 0.897 0.318
Zr5 Zr 0.750 0.103 0.682
Zr6 Zr 0.750 0.397 0.682
Zr7 Zr 0.750 0.506 0.337
Zr8 Zr 0.750 0.994 0.337
Br1 Br 0.250 0.021 0.166
Br2 Br 0.250 0.137 0.676
Br3 Br 0.250 0.363 0.676
Br4 Br 0.250 0.479 0.166
Br5 Br 0.250 0.626 0.800
Br6 Br 0.250 0.750 0.303
Br7 Br 0.250 0.874 0.800
Br8 Br 0.750 0.126 0.200
Br9 Br 0.750 0.250 0.697
Br10 Br 0.750 0.374 0.200
Br11 Br 0.750 0.521 0.834
Br12 Br 0.750 0.637 0.324
Br13 Br 0.750 0.863 0.324
Br14 Br 0.750 0.979 0.834
```

Summary:
V (Å³ per cell): 651.9


2.
This record from Alexandria describes CsZrBr4 after structural relaxation. The functional is PBE.

```
data_CsZrBr4
_cell_length_a 10.771
_cell_length_b 10.771
_cell_length_c 8.002
_cell_angle_alpha 90.00
_cell_angle_beta 90.00
_cell_angle_gamma 150.43
_space_group_name_H-M_alt 'P 1'
_space_group_IT_number 1
loop_
_space_group_symop_operation_xyz
'x,y,z'
loop_
_atom_site_label
_atom_site_type_symbol
_atom_site_fract_x
_atom_site_fract_y
_atom_site_fract_z
Cs1 Cs 0.127 0.873 0.750
Cs2 Cs 0.873 0.127 0.250
Zr1 Zr 0.407 0.593 0.750
Zr2 Zr 0.593 0.407 0.250
Br1 Br 0.083 0.917 0.250
Br2 Br 0.319 0.681 0.517
Br3 Br 0.319 0.681 0.983
Br4 Br 0.500 0.500 0.000
Br5 Br 0.500 0.500 0.500
Br6 Br 0.681 0.319 0.017
Br7 Br 0.681 0.319 0.483
Br8 Br 0.917 0.083 0.750
```

Summary:
E above lowest polymorph (meV/atom): 81
V (Å³ per cell): 458.1


3.
This record from Alexandria describes Cu2Br3 after structural relaxation. The functional is PBE.

```
data_Cu2Br3
_cell_length_a 9.004
_cell_length_b 9.004
_cell_length_c 9.004
_cell_angle_alpha 60.00
_cell_angle_beta 60.00
_cell_angle_gamma 60.00
_space_group_name_H-M_alt 'P 1'
_space_group_IT_number 1
loop_
_space_group_symop_operation_xyz
'x,y,z'
loop_
_atom_site_label
_atom_site_type_symbol
_atom_site_fract_x
_atom_site_fract_y
_atom_site_fract_z
Cu1 Cu 0.000 0.000 0.000
Cu2 Cu 0.000 0.000 0.500
Cu3 Cu 0.000 0.500 0.000
Cu4 Cu 0.000 0.500 0.500
Cu5 Cu 0.500 0.000 0.000
Cu6 Cu 0.500 0.000 0.500
Cu7 Cu 0.500 0.500 0.000
Cu8 Cu 0.500 0.500 0.500
Br1 Br 0.103 0.103 0.647
Br2 Br 0.103 0.647 0.103
Br3 Br 0.103 0.647 0.647
Br4 Br 0.353 0.353 0.897
Br5 Br 0.353 0.897 0.353
Br6 Br 0.353 0.897 0.897
Br7 Br 0.647 0.103 0.103
Br8 Br 0.647 0.103 0.647
Br9 Br 0.647 0.647 0.103
Br10 Br 0.897 0.353 0.353
Br11 Br 0.897 0.353 0.897
Br12 Br 0.897 0.897 0.353
```

Summary:
E above lowest polymorph (meV/atom): 401
V (Å³ per cell): 516.1


4.
This record from Alexandria describes Cu3Br4 after structural relaxation. The functional is PBE.

```
data_Cu3Br4
_cell_length_a 5.911
_cell_length_b 5.911
_cell_length_c 4.996
_cell_angle_alpha 90.00
_cell_angle_beta 90.00
_cell_angle_gamma 120.00
_space_group_name_H-M_alt 'P 1'
_space_group_IT_number 1
loop_
_space_group_symop_operation_xyz
'x,y,z'
loop_
_atom_site_label
_atom_site_type_symbol
_atom_site_fract_x
_atom_site_fract_y
_atom_site_fract_z
Cu1 Cu 0.000 0.500 0.000
Cu2 Cu 0.500 0.000 0.000
Cu3 Cu 0.500 0.500 0.000
Br1 Br 0.000 0.000 0.251
Br2 Br 0.000 0.000 0.749
Br3 Br 0.333 0.667 0.500
Br4 Br 0.667 0.333 0.500
```

Summary:
E above lowest polymorph (meV/atom): 754
V (Å³ per cell): 151.2


5.
This record from Alexandria describes CuBr3 after structural relaxation. The functional is PBE.

```
data_CuBr3
_cell_length_a 6.820
_cell_length_b 6.820
_cell_length_c 6.820
_cell_angle_alpha 152.75
_cell_angle_beta 109.76
_cell_angle_gamma 76.87
_space_group_name_H-M_alt 'P 1'
_space_group_IT_number 1
loop_
_space_group_symop_operation_xyz
'x,y,z'
loop_
_atom_site_label
_atom_site_type_symbol
_atom_site_fract_x
_atom_site_fract_y
_atom_site_fract_z
Cu1 Cu 0.000 0.000 0.000
Br1 Br 0.162 0.662 0.500
Br2 Br 0.500 0.500 0.000
Br3 Br 0.838 0.338 0.500
```

Summary:
V (Å³ per cell): 134.7


6.
This record from Alexandria describes Cu2Br3 after structural relaxation. The functional is PBE.

```
data_Cu2Br3
_cell_length_a 8.593
_cell_length_b 9.948
_cell_length_c 6.238
_cell_angle_alpha 90.00
_cell_angle_beta 90.00
_cell_angle_gamma 90.00
_space_group_name_H-M_alt 'P 1'
_space_group_IT_number 1
loop_
_space_group_symop_operation_xyz
'x,y,z'
loop_
_atom_site_label
_atom_site_type_symbol
_atom_site_fract_x
_atom_site_fract_y
_atom_site_fract_z
Cu1 Cu 0.000 0.000 0.000
Cu2 Cu 0.000 0.500 0.000
Cu3 Cu 0.081 0.250 0.494
Cu4 Cu 0.419 0.750 0.994
Cu5 Cu 0.500 0.000 0.500
Cu6 Cu 0.500 0.500 0.500
Cu7 Cu 0.581 0.250 0.006
Cu8 Cu 0.919 0.750 0.506
Br1 Br 0.001 0.750 0.151
Br2 Br 0.160 0.059 0.296
Br3 Br 0.160 0.441 0.296
Br4 Br 0.340 0.559 0.796
Br5 Br 0.340 0.941 0.796
Br6 Br 0.499 0.250 0.651
Br7 Br 0.501 0.750 0.349
Br8 Br 0.660 0.059 0.204
Br9 Br 0.660 0.441 0.204
Br10 Br 0.840 0.559 0.704
Br11 Br 0.840 0.941 0.704
Br12 Br 0.999 0.250 0.849
```

Summary:
E above lowest polymorph (meV/atom): 77
V (Å³ per cell): 533.2


7.
This record from Alexandria describes CuBr5 after structural relaxation. The functional is PBE.

```
data_CuBr5
_cell_length_a 6.147
_cell_length_b 6.147
_cell_length_c 6.147
_cell_angle_alpha 60.00
_cell_angle_beta 60.00
_cell_angle_gamma 60.00
_space_group_name_H-M_alt 'P 1'
_space_group_IT_number 1
loop_
_space_group_symop_operation_xyz
'x,y,z'
loop_
_atom_site_label
_atom_site_type_symbol
_atom_site_fract_x
_atom_site_fract_y
_atom_site_fract_z
Cu1 Cu 0.000 0.000 0.000
Br1 Br 0.375 0.375 0.375
Br2 Br 0.375 0.375 0.876
Br3 Br 0.375 0.876 0.375
Br4 Br 0.750 0.750 0.750
Br5 Br 0.876 0.375 0.375
```

Summary:
E above lowest polymorph (meV/atom): 799
V (Å³ per cell): 164.2


8.
This record from Alexandria describes Cu5Br3 after structural relaxation. The functional is PBE.

```
data_Cu5Br3
_cell_length_a 8.882
_cell_length_b 8.882
_cell_length_c 3.849
_cell_angle_alpha 90.00
_cell_angle_beta 90.00
_cell_angle_gamma 140.83
_space_group_name_H-M_alt 'P 1'
_space_group_IT_number 1
loop_
_space_group_symop_operation_xyz
'x,y,z'
loop_
_atom_site_label
_atom_site_type_symbol
_atom_site_fract_x
_atom_site_fract_y
_atom_site_fract_z
Cu1 Cu 0.000 0.000 0.000
Cu2 Cu 0.000 0.500 0.000
Cu3 Cu 0.218 0.218 0.500
Cu4 Cu 0.500 0.000 0.000
Cu5 Cu 0.782 0.782 0.500
Br1 Br 0.304 0.696 0.500
Br2 Br 0.500 0.500 0.000
Br3 Br 0.696 0.304 0.500
```

Summary:
V (Å³ per cell): 191.8


9.
This record from Alexandria describes CuBr2 after structural relaxation. The functional is PBE.

```
data_CuBr2
_cell_length_a 4.828
_cell_length_b 4.828
_cell_length_c 4.495
_cell_angle_alpha 90.00
_cell_angle_beta 90.00
_cell_angle_gamma 90.00
_space_group_name_H-M_alt 'P 1'
_space_group_IT_number 1
loop_
_space_group_symop_operation_xyz
'x,y,z'
loop_
_atom_site_label
_atom_site_type_symbol
_atom_site_fract_x
_atom_site_fract_y
_atom_site_fract_z
Cu1 Cu 0.000 0.000 0.000
Br1 Br 0.000 0.500 0.000
Br2 Br 0.500 0.000 0.000
```

Summary:
V (Å³ per cell): 104.8


10.
This record from Alexandria describes CuBr3 after structural relaxation. The functional is PBE.

```
data_CuBr3
_cell_length_a 6.966
_cell_length_b 6.966
_cell_length_c 6.966
_cell_angle_alpha 118.48
_cell_angle_beta 118.48
_cell_angle_gamma 92.65
_space_group_name_H-M_alt 'P 1'
_space_group_IT_number 1
loop_
_space_group_symop_operation_xyz
'x,y,z'
loop_
_atom_site_label
_atom_site_type_symbol
_atom_site_fract_x
_atom_site_fract_y
_atom_site_fract_z
Cu1 Cu 0.000 0.000 0.000
Cu2 Cu 0.750 0.250 0.500
Br1 Br 0.029 0.125 0.404
Br2 Br 0.250 0.750 0.500
Br3 Br 0.375 0.971 0.096
Br4 Br 0.500 0.500 0.000
Br5 Br 0.721 0.625 0.596
Br6 Br 0.875 0.279 0.904
```

Summary:
V (Å³ per cell): 244.2


11.
This record from Alexandria describes Cu2Br3 after structural relaxation. The functional is PBE.

```
data_Cu2Br3
_cell_length_a 3.919
_cell_length_b 5.732
_cell_length_c 6.927
_cell_angle_alpha 65.65
_cell_angle_beta 73.65
_cell_angle_gamma 89.95
_space_group_name_H-M_alt 'P 1'
_space_group_IT_number 1
loop_
_space_group_symop_operation_xyz
'x,y,z'
loop_
_atom_site_label
_atom_site_type_symbol
_atom_site_fract_x
_atom_site_fract_y
_atom_site_fract_z
Cu1 Cu 0.000 0.000 0.000
Cu2 Cu 0.327 0.325 0.356
Br1 Br 0.162 0.401 0.679
Br2 Br 0.492 0.739 0.019
Br3 Br 0.836 0.081 0.336
```

Summary:
E above lowest polymorph (meV/atom): 0
V (Å³ per cell): 134.9


12.
This record from Alexandria describes CuBr2 after structural relaxation. The functional is PBE.

```
data_CuBr2
_cell_length_a 5.029
_cell_length_b 5.029
_cell_length_c 2.869
_cell_angle_alpha 90.00
_cell_angle_beta 90.00
_cell_angle_gamma 90.00
_space_group_name_H-M_alt 'P 1'
_space_group_IT_number 1
loop_
_space_group_symop_operation_xyz
'x,y,z'
loop_
_atom_site_label
_atom_site_type_symbol
_atom_site_fract_x
_atom_site_fract_y
_atom_site_fract_z
Cu1 Cu 0.000 0.000 0.000
Br1 Br 0.000 0.500 0.500
Br2 Br 0.500 0.000 0.500
```

Summary:
V (Å³ per cell): 72.6


For the records above, the corresponding ΔE_f (raw) values read -11.94; -8.53; 0.44; 2.98; -0.24; -1.18; 4.62; 1.71; -0.26; 0.28; -1.57; 0.59 eV per formula unit.